(1)
Computed, not measured: a relaxed structure of Rb2HoUO6 at the GGA-PBE level of DFT.

The structure in POSCAR format:
```
Rb2HoUO6
1.0
0.000 4.365 4.365
4.365 0.000 4.365
4.365 4.365 0.000
Rb Ho U O
2 1 1 6
Cartesian
2.183 2.183 2.183
6.548 6.548 6.548
0.000 0.000 0.000
4.365 4.365 4.365
4.365 4.365 2.276
4.365 2.276 4.365
6.455 4.365 4.365
2.276 4.365 4.365
4.365 6.455 4.365
4.365 4.365 6.455
```

Properties
- Magnetic moment: 1.04 Bohr magnetons per cell
- Energy relative to the elements, uncorrected: -2.669 eV per atom
- Space group: Fm-3m, No. 225
- Final energy: -7.424 eV/atom



(2)
Computed, not measured: a relaxed structure of Rb3HoU2O9 at the GGA-PBE level of DFT.

The structure in POSCAR format:
```
Rb3HoU2O9
1.0
6.148 0.000 0.000
-3.074 5.325 0.000
0.000 0.000 7.527
Rb Ho U O
3 1 2 9
Cartesian
0.000 0.000 0.000
0.000 3.550 4.985
3.074 1.775 2.542
0.000 0.000 3.764
0.000 3.550 1.266
3.074 1.775 6.261
-1.537 2.662 0.000
0.000 1.862 2.430
-1.462 4.394 2.430
1.613 0.931 5.097
3.074 0.000 0.000
1.537 2.662 0.000
1.462 4.394 2.430
4.536 0.931 5.097
3.074 3.463 5.097
```

Properties
- Magnetic moment: 0.00 Bohr magnetons per cell
- Energy relative to the elements, uncorrected: -2.874 eV per atom
- Space group: P-3m1, No. 164
- Final energy: -7.853 eV/atom



For reference, N(E_F) by record: 8.55 0.00 states/eV/f.u..